1.
RbLaTl3: optimized geometry, PBE.

The density comes out at 5.67 g cm⁻³. The size of the total moment is 0.0 μB per formula unit. The total DFT energy (no corrections) is -0.08772 hartree per atom.

The space group is Pm-3m (No. 221) and the conventional cell measures 6.261, 6.261 and 6.261 Å, with angles of 90.00, 90.00 and 90.00 degrees. The distinct sites, in fractional coordinates, are Rb at (0.000, 0.000, 0.000), La at (0.500, 0.500, 0.500) and Tl at (0.000, 0.500, 0.500).

***

2.
KRbSr2Au: optimized geometry, PBE.

The density comes out at 3.08 g cm⁻³. The size of the total moment is 0.0 μB per formula unit. The total DFT energy (no corrections) is -0.07165 hartree per atom.

The space group is P4/mmm (No. 123) and the conventional cell measures 6.242, 6.242 and 6.874 Å, with angles of 90.00, 90.00 and 90.00 degrees. The distinct sites, in fractional coordinates, are K at (0.000, 0.000, 0.000), Rb at (0.500, 0.500, 0.000), Sr at (0.000, 0.500, 0.500) and Au at (0.000, 0.000, 0.500).